Entry 1:
Crystalline SrYPaO6 at its relaxed geometry, computed with GGA-PBE.

a = 6.0160 Å, b = 6.0160 Å, c = 4.7170 Å
α = 90.00°, β = 90.00°, γ = 120.00°
Element x y z (fractional)
Sr 0.0000 0.0000 0.0000
Y 0.3333 0.6667 0.0000
Pa 0.6667 0.3333 0.5000
O 0.3770 0.0136 0.2479
O 0.3770 0.3634 0.7521
O 0.6366 0.0136 0.7521
O 0.6366 0.6230 0.2479
O 0.9864 0.3634 0.2479
O 0.9864 0.6230 0.7521

Results
The value obtained for the total energy is -72.34 eV/f.u. The magnetization comes out at 0.226 μB/atom. The density of states at the Fermi level comes out at 0.743 states/eV per atom. The value obtained for the uncorrected formation energy is -2.7716 eV/atom.

---

Entry 2:
Crystalline SrPaZn2O6 at its relaxed geometry, computed with GGA-PBE.

a = 6.4938 Å, b = 6.4938 Å, c = 6.4938 Å
α = 51.87°, β = 51.87°, γ = 51.87°
Element x y z (fractional)
Sr 0.0000 0.0000 0.0000
Pa 0.5000 0.5000 0.5000
Zn 0.2379 0.2379 0.2379
Zn 0.7621 0.7621 0.7621
O 0.1052 0.7277 0.4409
O 0.2723 0.5591 0.8948
O 0.4409 0.1052 0.7277
O 0.5591 0.8948 0.2723
O 0.7277 0.4409 0.1052
O 0.8948 0.2723 0.5591

Results
The value obtained for the total energy is -66.41 eV/f.u. The magnetization comes out at 0.078 μB/atom. The density of states at the Fermi level comes out at 0.989 states/eV per atom. The value obtained for the uncorrected formation energy is -2.2933 eV/atom.

---

Entry 3:
Crystalline SrPaZnO6 at its relaxed geometry, computed with GGA-PBE.

a = 5.6594 Å, b = 5.6594 Å, c = 4.8724 Å
α = 90.00°, β = 90.00°, γ = 120.00°
Element x y z (fractional)
Sr 0.0000 0.0000 0.0000
Pa 0.6667 0.3333 0.5000
Zn 0.3333 0.6667 0.0000
O 0.0020 0.3913 0.2431
O 0.0020 0.6107 0.7569
O 0.3893 0.3913 0.7569
O 0.3893 0.9980 0.2431
O 0.6087 0.6107 0.2431
O 0.6087 0.9980 0.7569

Results
The value obtained for the total energy is -60.03 eV/f.u. The magnetization comes out at 0.336 μB/atom. The density of states at the Fermi level comes out at 0.625 states/eV per atom. The value obtained for the uncorrected formation energy is -1.9810 eV/atom.

---

Entry 4:
Crystalline SrPa2ZnO8 at its relaxed geometry, computed with GGA-PBE.

a = 3.8351 Å, b = 5.7725 Å, c = 7.4963 Å
α = 83.99°, β = 86.48°, γ = 88.41°
Element x y z (fractional)
Sr 0.0000 0.0000 0.0000
Pa 0.4765 0.4720 0.2504
Pa 0.5235 0.5280 0.7496
Zn 0.0000 0.0000 0.5000
O 0.0120 0.7857 0.7104
O 0.0300 0.3355 0.7500
O 0.4811 0.7391 0.4699
O 0.4983 0.2805 0.0125
O 0.5017 0.7195 0.9875
O 0.5189 0.2609 0.5301
O 0.9700 0.6645 0.2500
O 0.9880 0.2143 0.2896

Results
The value obtained for the total energy is -93.68 eV/f.u. The magnetization comes out at 0.153 μB/atom. The density of states at the Fermi level comes out at 0.457 states/eV per atom. The value obtained for the uncorrected formation energy is -2.6722 eV/atom.

---

Entry 5:
Crystalline Sr3PaZn2O9 at its relaxed geometry, computed with GGA-PBE.

a = 5.7332 Å, b = 5.7332 Å, c = 7.3416 Å
α = 90.00°, β = 90.00°, γ = 120.00°
Element x y z (fractional)
Sr 0.0000 0.0000 0.0000
Sr 0.3333 0.6667 0.7270
Sr 0.6667 0.3333 0.2730
Pa 0.0000 0.0000 0.5000
Zn 0.3333 0.6667 0.1629
Zn 0.6667 0.3333 0.8371
O 0.0000 0.5000 0.0000
O 0.1670 0.3340 0.3218
O 0.1670 0.8330 0.3218
O 0.3340 0.1670 0.6782
O 0.5000 0.0000 0.0000
O 0.5000 0.5000 0.0000
O 0.6660 0.8330 0.3218
O 0.8330 0.1670 0.6782
O 0.8330 0.6660 0.6782

Results
The value obtained for the total energy is -95.36 eV/f.u. The magnetization comes out at 0.030 μB/atom. The density of states at the Fermi level comes out at 0.590 states/eV per atom. The value obtained for the uncorrected formation energy is -2.2434 eV/atom.

---

Entry 6:
Crystalline Pa2TaO11 at its relaxed geometry, computed with GGA-PBE.

a = 7.4274 Å, b = 8.0171 Å, c = 8.1238 Å
α = 97.26°, β = 114.04°, γ = 108.17°
Element x y z (fractional)
Pa 0.0000 0.0000 0.0000
Pa 0.0152 0.4250 0.3583
Pa 0.4939 0.9061 0.0628
Pa 0.5100 0.3301 0.4238
Ta 0.0531 0.5020 0.8712
Ta 0.5455 0.8451 0.5740
O 0.0059 0.4894 0.0975
O 0.0181 0.2594 0.9189
O 0.0195 0.9405 0.3855
O 0.0270 0.8275 0.4807
O 0.0536 0.4075 0.6306
O 0.1109 0.7745 0.9435
O 0.1619 0.2285 0.2960
O 0.2063 0.7389 0.4906
O 0.3510 0.1131 0.1406
O 0.3677 0.6175 0.9838
O 0.3753 0.1018 0.7971
O 0.4273 0.5754 0.4789
O 0.4476 0.3777 0.7567
O 0.4525 0.2811 0.8710
O 0.5271 0.0793 0.5342
O 0.5378 0.8611 0.3310
O 0.6135 0.8982 0.8462
O 0.7321 0.4606 0.3374
O 0.7556 0.4631 0.7056
O 0.7566 0.1536 0.1920
O 0.8495 0.9071 0.6973
O 0.8551 0.8453 0.1668

Results
The value obtained for the total energy is -116.75 eV/f.u. The magnetization comes out at 0.073 μB/atom. The value obtained for the uncorrected formation energy is -2.2407 eV/atom.

---

Entry 7:
Crystalline Pa4TaO10 at its relaxed geometry, computed with GGA-PBE.

a = 15.4749 Å, b = 15.4749 Å, c = 15.4749 Å
α = 14.21°, β = 14.21°, γ = 14.21°
Element x y z (fractional)
Pa 0.1037 0.1037 0.1037
Pa 0.2989 0.2989 0.2989
Pa 0.7011 0.7011 0.7011
Pa 0.8963 0.8963 0.8963
Ta 0.5000 0.5000 0.5000
O 0.0520 0.0520 0.0520
O 0.1541 0.1541 0.1541
O 0.2465 0.2465 0.2465
O 0.3505 0.3505 0.3505
O 0.4540 0.4540 0.4540
O 0.5460 0.5460 0.5460
O 0.6495 0.6495 0.6495
O 0.7535 0.7535 0.7535
O 0.8459 0.8459 0.8459
O 0.9480 0.9480 0.9480

Results
The value obtained for the total energy is -148.88 eV/f.u. The magnetization comes out at 0.159 μB/atom. The density of states at the Fermi level comes out at 0.787 states/eV per atom. The value obtained for the uncorrected formation energy is -3.2972 eV/atom.

---

Entry 8:
Crystalline Pa3TaTl2O12 at its relaxed geometry, computed with GGA-PBE.

a = 7.8688 Å, b = 7.8688 Å, c = 7.8688 Å
α = 61.29°, β = 61.29°, γ = 61.29°
Element x y z (fractional)
Pa 0.0000 0.5000 0.5000
Pa 0.5000 0.0000 0.5000
Pa 0.5000 0.5000 0.0000
Ta 0.5000 0.5000 0.5000
Tl 0.0980 0.0980 0.0980
Tl 0.9020 0.9020 0.9020
O 0.1772 0.1772 0.5754
O 0.1772 0.5754 0.1772
O 0.2051 0.5577 0.5577
O 0.4246 0.8228 0.8228
O 0.4423 0.4423 0.7949
O 0.4423 0.7949 0.4423
O 0.5577 0.2051 0.5577
O 0.5577 0.5577 0.2051
O 0.5754 0.1772 0.1772
O 0.7949 0.4423 0.4423
O 0.8228 0.4246 0.8228
O 0.8228 0.8228 0.4246

Results
The value obtained for the total energy is -152.32 eV/f.u. The magnetization comes out at 0.038 μB/atom. The density of states at the Fermi level comes out at 0.852 states/eV per atom. The value obtained for the uncorrected formation energy is -2.6530 eV/atom.

---

Entry 9:
Crystalline PaTa2TlO8 at its relaxed geometry, computed with GGA-PBE.

a = 6.1299 Å, b = 6.1299 Å, c = 7.7530 Å
α = 90.00°, β = 90.00°, γ = 120.00°
Element x y z (fractional)
Pa 0.0000 0.0000 0.0000
Ta 0.3333 0.6667 0.7508
Ta 0.6667 0.3333 0.2492
Tl 0.0000 0.0000 0.5000
O 0.1641 0.3281 0.8316
O 0.1641 0.8359 0.8316
O 0.3281 0.1641 0.1684
O 0.3333 0.6667 0.5212
O 0.6667 0.3333 0.4788
O 0.6719 0.8359 0.8316
O 0.8359 0.1641 0.1684
O 0.8359 0.6719 0.1684

Results
The value obtained for the total energy is -107.97 eV/f.u. The magnetization comes out at 0.000 μB/atom. The density of states at the Fermi level comes out at 0.000 states/eV per atom. The value obtained for the uncorrected formation energy is -2.7279 eV/atom.

---

Which of these has the highest magnetization?
SrPaZnO6

---

Among the records above, which one has the lowest magnetization?
PaTa2TlO8

---

What is the magnetization in the third record?
0.336 μB/atom